The following is a DFT calculation (GGA-PBEsol) of HgAuSe2 after structural relaxation.

Unit cell a=3.7396 b=3.7396 c=6.5805 alpha=90.00 beta=90.00 gamma=90.00
With the nearest neighbours (Å) after each atom.
Fractional coordinates of all 4 atoms:
1 Au 0.0000 0.0000 0.5492  1 Se 2.62, 4 Hg 2.79
2 Hg 0.5000 0.5000 0.6831  4 Au 2.79, 1 Se 2.85
3 Se 0.0000 0.0000 0.1511  1 Au 2.62, 4 Se 2.65
4 Se 0.5000 0.5000 0.1167  4 Se 2.65, 1 Hg 2.85

Values from the calculation:
- calculated total energy (eV per atom) = -2.912
- crystal system = tetragonal
- mass density (Mg/m³) = 10.02
- total magnetization (μB per atom) = 0.0000

=====

The following is a DFT calculation (GGA-PBEsol) of Tc2Au after structural relaxation.

Unit cell a=2.7427 b=2.7427 c=6.8817 alpha=90.00 beta=90.00 gamma=120.00
With the nearest neighbours (Å) after each atom.
Fractional coordinates of all 3 atoms:
1 Au 0.0000 0.0000 0.0000  6 Au 2.74, 6 Tc 2.90
2 Tc 0.6667 0.3333 0.6466  9 Tc 2.56-2.74
3 Tc 0.3333 0.6667 0.3534  9 Tc 2.56-2.74

Values from the calculation:
- formation energy (meV/atom) = 102
- crystal system = trigonal
- relative energy among the computed polymorphs (meV/atom) = 0
- mass density (Mg/m³) = 14.56
- total magnetization (μB per atom) = 0.0000

=====

The following is a DFT calculation (GGA-PBEsol) of ScTaPS2 after structural relaxation.

Unit cell a=4.6394 b=4.6394 c=4.8175 alpha=90.00 beta=90.00 gamma=90.00
With the nearest neighbours (Å) after each atom.
Fractional coordinates of all 5 atoms:
1 Sc 0.0000 0.0000 0.0000  4 S 2.32, 2 P 2.41
2 P 0.0000 0.0000 0.5000  2 Sc 2.41
3 S 0.0000 0.5000 0.0000  2 Sc 2.32
4 S 0.5000 0.0000 0.0000  2 Sc 2.32
5 Ta 0.5000 0.5000 0.5000  4 P 3.28, 8 S 3.34

Values from the calculation:
- calculated total energy (eV per atom) = -6.326
- crystal system = tetragonal
- mass density (Mg/m³) = 5.14
- total magnetization (μB per atom) = 0.2932